The following is a DFT calculation (GGA-PBE) of an optimized crystal structure of Al2NiRu.

Summary:
ΔH_f (0 K)	-0.375	eV per atom
D(E_F)	3.52	states/eV/cell
SG	No. 166
energy above the lowest structure with this stoichiometry	362	meV/atom

abc: 8.051 8.051 8.051
angles: 20.14 20.14 20.14
Fractional positions:
Al: 0.248 0.248 0.248
Al: 0.752 0.752 0.752
Ni: 0.500 0.500 0.500
Ru: 0.000 0.000 0.000